Density functional theory data (PBE-GGA) for an optimized crystal structure of TlFeRe2.

Properties
Its uncorrected energy is -8.362 eV/atom. As for the polymorph energy (0 for the lowest one): 50.2 meV per atom. Its formation energy is 0.569 eV per atom. The total moment is 2.50 Bohr magnetons per cell.

The structure in POSCAR format:
```
TlFeRe2
1.0
1.434 0.828 9.154
-1.434 0.828 9.154
0.000 -1.656 9.154
Tl Fe Re
1 1 2
Direct
0.000 0.000 0.000
0.753 0.753 0.753
0.239 0.239 0.239
0.497 0.497 0.497
```